(1)
Entry from Alexandria via LeMat-Bulk: PaFe2Ge3 after structural relaxation (PBE).

Output
The value obtained for the total energy is -6.989 eV per atom. For the density of states at the Fermi level, the calculation gives 10.17 states/eV per cell. As for the formation energy: -277 meV per atom.

a b c (Å): 3.9341 8.2253 9.3685
angles (deg): 104.62 90.00 103.84
With the nearest neighbours (Å) after each atom.
Fractional coordinates of all 18 atoms:
Ge1 0.0472 0.0943 0.3502  4 Fe 2.33-2.49
Ge2 0.3548 0.7095 0.0757  4 Fe 2.34-2.56, 1 Ge 2.47
Ge3 0.7776 0.5553 0.6210  4 Fe 2.37-2.65
Ge4 0.5000 0.0000 0.5000  4 Fe 2.40-2.61, 4 Ge 2.64
Ge5 0.2224 0.4447 0.3790  4 Fe 2.37-2.65
Ge6 0.3556 0.7111 0.8120  4 Fe 2.42-2.51, 1 Ge 2.47
Ge7 0.6452 0.2905 0.9243  4 Fe 2.34-2.56, 1 Ge 2.47
Ge8 0.6444 0.2889 0.1880  4 Fe 2.42-2.51, 1 Ge 2.47
Ge9 0.9528 0.9057 0.6498  4 Fe 2.33-2.49
Pa1 0.8492 0.6983 0.3104  4 Fe 2.96-3.25, 9 Ge 2.97-3.26
Pa2 0.0000 0.0000 0.0000  4 Fe 2.86, 6 Ge 3.17-3.19
Pa3 0.1508 0.3017 0.6896  4 Fe 2.96-3.25, 9 Ge 2.97-3.26
Fe1 0.5008 0.0016 0.7791  5 Ge 2.33-2.61
Fe2 0.2111 0.4222 0.0916  5 Ge 2.34-2.56
Fe3 0.7889 0.5778 0.9084  5 Ge 2.34-2.56
Fe4 0.6393 0.2786 0.4485  7 Ge 2.37-2.55
Fe5 0.3607 0.7214 0.5515  7 Ge 2.37-2.55
Fe6 0.4992 0.9984 0.2209  5 Ge 2.33-2.61

=====

(2)
Entry from Alexandria via LeMat-Bulk: CdBi2 after structural relaxation (PBE).

Output
The value obtained for the total energy is -2.783 eV per atom. For the density of states at the Fermi level, the calculation gives 1.36 states/eV per cell. The calculation puts the energy above the lowest structure with this stoichiometry at 0.000 eV/atom. As for the formation energy: 109 meV per atom.

a b c (Å): 4.2622 4.2622 5.8432
angles (deg): 111.39 111.39 90.00
With the nearest neighbours (Å) after each atom.
Fractional coordinates of all 3 atoms:
Cd1 0.0000 0.0000 0.0000  10 Bi 3.24-3.50
Bi1 0.3232 0.3232 0.6464  5 Cd 3.24-3.50, 5 Bi 3.35-3.54
Bi2 0.6768 0.6768 0.3536  5 Cd 3.24-3.50, 5 Bi 3.35-3.54

=====

(3)
Entry from Alexandria via LeMat-Bulk: La4HoEr5 after structural relaxation (PBE).

Output
The value obtained for the total energy is -4.513 eV per atom. For the density of states at the Fermi level, the calculation gives 14.73 states/eV per cell. The calculation puts the energy above the lowest structure with this stoichiometry at 0.000 eV/atom. As for the formation energy: 197 meV per atom.

a b c (Å): 3.5275 11.4603 8.7306
angles (deg): 90.07 101.65 90.00
With the nearest neighbours (Å) after each atom.
Fractional coordinates of all 10 atoms:
Er1 0.5000 0.5000 0.0000  4 La 3.41, 6 Er 3.47-3.53
Er2 0.1723 0.5460 0.3446  2 La 3.33-3.64, 6 Er 3.36-3.53
Er3 0.8277 0.4540 0.6554  2 La 3.33-3.64, 6 Er 3.36-3.53
Er4 0.1725 0.9534 0.3450  2 La 3.33-3.64, 4 Er 3.36-3.53, 2 Ho 3.48
Er5 0.8275 0.0466 0.6550  2 La 3.33-3.64, 4 Er 3.36-3.53, 2 Ho 3.48
Ho1 0.5000 0.0000 0.0000  4 La 3.42, 4 Er 3.48, 2 Ho 3.53
La1 0.6643 0.2500 0.3287  4 La 3.53-3.82, 6 Er 3.64-3.83
La2 0.3357 0.7500 0.6713  4 La 3.53-3.82, 6 Er 3.64-3.83
La3 0.9663 0.2504 0.9327  4 Er 3.33-3.41, 2 Ho 3.42, 2 La 3.53
La4 0.0337 0.7496 0.0673  4 Er 3.33-3.41, 2 Ho 3.42, 2 La 3.53

=====

Which formula does entry 3 have? La4HoEr5